First-principles (PBE-GGA) data for a geometry-optimized TaAgW3 structure, as listed in Alexandria.

Unit cell a=4.7279 b=4.7279 c=4.7279 alpha=90.00 beta=90.00 gamma=90.00
Closest atoms and distances in Å follow each position.
Space group Pm-3m (No. 221)
Inequivalent atoms, fractional coordinates:
1 Ta 0.0000 0.0000 0.0000 (multiplicity 1)  12 W 3.34
2 Ag 0.5000 0.5000 0.5000 (multiplicity 1)  6 W 2.36
3 W 0.0000 0.5000 0.5000 (multiplicity 3)  2 Ag 2.36

Output
For the formation energy, the calculation gives 2.77 eV/atom. For the energy above the most stable polymorph in this dataset, the calculation gives 484 meV/atom.

First-principles (PBE-GGA) data for a geometry-optimized ThMg4Cd8 structure, as listed in Alexandria.

Unit cell a=9.8360 b=9.8360 c=6.0611 alpha=90.00 beta=90.00 gamma=90.00
Closest atoms and distances in Å follow each position.
Space group I4/mmm (No. 139)
Inequivalent atoms, fractional coordinates:
1 Th 0.0000 0.0000 0.0000 (multiplicity 2)  12 Cd 3.42-3.69, 8 Mg 3.79
2 Mg 0.2500 0.2500 0.2500 (multiplicity 8)  8 Cd 2.91-3.04, 2 Mg 3.03
3 Cd 0.0000 0.2132 0.5000 (multiplicity 8)  4 Mg 2.91, 4 Cd 2.97-3.20
4 Cd 0.0000 0.3475 0.0000 (multiplicity 8)  5 Cd 3.00-3.31, 4 Mg 3.04

Output
For the formation energy, the calculation gives -0.12 eV/atom.

First-principles (PBE-GGA) data for a geometry-optimized TmTh3Al8 structure, as listed in Alexandria.

Unit cell a=5.6701 b=5.6701 c=27.6549 alpha=90.00 beta=90.00 gamma=120.00
Closest atoms and distances in Å follow each position.
Space group R3m (No. 160, hexagonal axes)
Inequivalent atoms, fractional coordinates:
1 Tm 0.0000 0.0000 0.0000 (multiplicity 3)  12 Al 3.29-3.32, 4 Th 3.45-3.47
2 Th 0.0000 0.0000 0.3744 (multiplicity 3)  12 Al 3.28-3.32, 3 Tm 3.47, 1 Th 3.49
3 Th 0.0000 0.0000 0.5006 (multiplicity 3)  12 Al 3.32-3.34, 4 Th 3.47-3.49
4 Th 0.0000 0.0000 0.8751 (multiplicity 3)  12 Al 3.32-3.34, 1 Tm 3.45, 3 Th 3.47
5 Al 0.0000 0.0000 0.1880 (multiplicity 3)  6 Al 2.83-2.85
6 Al 0.0000 0.0000 0.6870 (multiplicity 3)  6 Al 2.80-2.82
7 Al 0.0005 0.5002 0.9382 (multiplicity 9)  6 Al 2.80-2.84
8 Al 0.1670 0.3340 0.7701 (multiplicity 9)  6 Al 2.82-2.85

Output
For the formation energy, the calculation gives -0.43 eV/atom.

First-principles (PBE-GGA) data for a geometry-optimized CsK3Nb structure, as listed in Alexandria.

Unit cell a=7.1365 b=7.1365 c=7.1365 alpha=90.00 beta=90.00 gamma=90.00
Closest atoms and distances in Å follow each position.
Space group Pm-3m (No. 221)
Inequivalent atoms, fractional coordinates:
1 Cs 0.0000 0.0000 0.0000 (multiplicity 1)  6 K 3.57
2 K 0.0000 0.0000 0.5000 (multiplicity 3)  2 Cs 3.57
3 Nb 0.5000 0.5000 0.5000 (multiplicity 1)  12 K 5.05

Output
For the formation energy, the calculation gives 1.48 eV/atom. For the energy above the most stable polymorph in this dataset, the calculation gives 538 meV/atom.

First-principles (PBE-GGA) data for a geometry-optimized PmSnHgCl6 structure, as listed in Alexandria.

Unit cell a=7.0732 b=7.0732 c=8.8355 alpha=90.00 beta=90.00 gamma=120.00
Closest atoms and distances in Å follow each position.
Space group P312 (No. 149)
Inequivalent atoms, fractional coordinates:
1 Pm 0.0000 0.0000 0.0000 (multiplicity 1)  6 Cl 2.75
2 Sn 0.3333 0.6667 0.0000 (multiplicity 1)  6 Cl 2.66
3 Hg 0.6667 0.3333 0.5000 (multiplicity 1)  6 Cl 3.91
4 Cl 0.0445 0.3423 0.8269 (multiplicity 6)  1 Sn 2.66, 1 Pm 2.75

Output
Its raw formation energy is -1.35 eV per atom.

First-principles (PBE-GGA) data for a geometry-optimized TaHI2O structure, as listed in Alexandria.

Unit cell a=5.1943 b=5.1943 c=3.1349 alpha=90.00 beta=90.00 gamma=90.00
Closest atoms and distances in Å follow each position.
Space group P4/mmm (No. 123)
Inequivalent atoms, fractional coordinates:
1 Ta 0.0000 0.0000 0.0000 (multiplicity 1)  8 I 3.03, 2 Ta 3.13
2 H 0.5000 0.5000 0.5000 (multiplicity 1)  2 O 1.57
3 I 0.0000 0.5000 0.5000 (multiplicity 2)  2 H 2.60
4 O 0.5000 0.5000 0.0000 (multiplicity 1)  2 H 1.57

Output
For the energy above the most stable polymorph in this dataset, the calculation gives 1133 meV/atom.

For each record above, in turn, the calculated DOS(E_F) values are 1.62, 0.31, 0.65, 0.55, 0.71, 0.58 states/eV/atom.